1.
Density functional theory data (PBE) for a relaxed SmPuN2 crystal.

The total DFT energy (no corrections) is -10.102 eV/atom. The calculation puts the volume at 188.0 Å³ per cell. The value obtained for the formation energy (no corrections) is -1.18 eV per atom.

It has space group R3m (No. 160, hexagonal axes), with a = 3.4891 Å, b = 3.4891 Å, c = 17.8349 Å, α = 90.00°, β = 90.00° and γ = 120.00°. The inequivalent atoms are Sm at (0.0000, 0.0000, 0.0000), Pu at (0.0000, 0.0000, 0.8276), N at (0.0000, 0.0000, 0.2350) and N at (0.0000, 0.0000, 0.4167).

---

2.
Density functional theory data (PBE) for a relaxed Sm2PuN crystal.

The total DFT energy (no corrections) is -8.496 eV/atom. The calculation puts the volume at 306.0 Å³ per cell. Its energy relative to the lowest polymorph listed for this composition is 0 meV/atom. The value obtained for the formation energy (no corrections) is -0.47 eV per atom.

It has space group R-3m (No. 166, hexagonal axes), with a = 3.4920 Å, b = 3.4920 Å, c = 28.9721 Å, α = 90.00°, β = 90.00° and γ = 120.00°. The inequivalent atoms are Sm at (0.0000, 0.0000, 0.1186), Pu at (0.0000, 0.0000, 0.0000) and N at (0.0000, 0.0000, 0.5000).

---

3.
Density functional theory data (PBE) for a relaxed Sm4PuN5 crystal.

The total DFT energy (no corrections) is -8.917 eV/atom. The calculation puts the volume at 318.4 Å³ per cell. The value obtained for the formation energy (no corrections) is -1.43 eV per atom.

It has space group I4/m (No. 87), with a = 7.950 Å, b = 7.950 Å, c = 5.037 Å, α = 90.00°, β = 90.00° and γ = 90.00°. The inequivalent atoms are Sm at (0.100, 0.700, 0.000), Pu at (0.000, 0.000, 0.500), N at (0.000, 0.000, 0.000) and N at (0.094, 0.715, 0.500).

---

4.
Density functional theory data (PBE) for a relaxed Sm6PuN8 crystal.

The total DFT energy (no corrections) is -8.592 eV/atom. The calculation puts the volume at 1011.6 Å³ per cell. The value obtained for the formation energy (no corrections) is -1.31 eV per atom.

It has space group Fm-3m (No. 225), with a = 10.039 Å, b = 10.039 Å, c = 10.039 Å, α = 90.00°, β = 90.00° and γ = 90.00°. The inequivalent atoms are Sm at (0.000, 0.250, 0.250), Pu at (0.000, 0.000, 0.000), N at (0.000, 0.000, 0.216) and N at (0.250, 0.250, 0.250).

---

5.
Density functional theory data (PBE) for a relaxed SmPu3N crystal.

The total DFT energy (no corrections) is -11.479 eV/atom. The calculation puts the volume at 117.8 Å³ per cell. The value obtained for the formation energy (no corrections) is -0.27 eV per atom.

It has space group Pm-3m (No. 221), with a = 4.903 Å, b = 4.903 Å, c = 4.903 Å, α = 90.00°, β = 90.00° and γ = 90.00°. The inequivalent atoms are Sm at (0.000, 0.000, 0.000), Pu at (0.000, 0.500, 0.500) and N at (0.500, 0.500, 0.500).

---

6.
Density functional theory data (PBE) for a relaxed Sm5PuN6 crystal.

The total DFT energy (no corrections) is -8.770 eV/atom. The calculation puts the volume at 382.4 Å³ per cell. The value obtained for the formation energy (no corrections) is -1.45 eV per atom.

It has space group C2/m (No. 12), with a = 6.166 Å, b = 10.671 Å, c = 6.166 Å, α = 90.00°, β = 109.49° and γ = 90.00°. The inequivalent atoms are Sm at (0.000, 0.000, 0.000), Sm at (0.000, 0.166, 0.500), Sm at (0.000, 0.334, 0.000), Pu at (0.000, 0.500, 0.500), N at (0.238, 0.500, 0.258) and N at (0.239, 0.341, 0.741).

---

7.
Density functional theory data (PBE) for a relaxed Sm8PuN6 crystal.

The total DFT energy (no corrections) is -7.939 eV/atom. The calculation puts the volume at 912.2 Å³ per cell. The value obtained for the formation energy (no corrections) is -1.14 eV per atom.

It has space group R-3 (No. 148, hexagonal axes), with a = 6.2105 Å, b = 6.2105 Å, c = 27.3102 Å, α = 90.00°, β = 90.00° and γ = 120.00°. The inequivalent atoms are Sm at (0.0000, 0.0000, 0.1667), Sm at (0.0000, 0.3366, 0.6021), Pu at (0.0000, 0.0000, 0.5000) and N at (0.9999, 0.3261, 0.4448).

---

8.
Density functional theory data (PBE) for a relaxed SmPu5N6 crystal.

The total DFT energy (no corrections) is -11.762 eV/atom. The calculation puts the volume at 360.8 Å³ per cell. The value obtained for the formation energy (no corrections) is -1.23 eV per atom.

It has space group C2/m (No. 12), with a = 6.058 Å, b = 10.492 Å, c = 6.026 Å, α = 90.00°, β = 109.61° and γ = 90.00°. The inequivalent atoms are Sm at (0.000, 0.000, 0.000), Pu at (0.000, 0.165, 0.500), Pu at (0.000, 0.334, 0.000), Pu at (0.000, 0.500, 0.500), N at (0.240, 0.500, 0.254) and N at (0.242, 0.328, 0.745).

---

> The highest total DFT energy (no corrections) belongs to which entry?

Sm8PuN6

---

> What is the formula in the first record?

SmPuN2

---

> Which of these has the lowest formation energy (no corrections)?

Sm5PuN6

---

> What is the formula in the fourth record?

Sm6PuN8